#1
Entry from Alexandria: a relaxed structure of Sc2CuHRu (GGA-PBE).

Calculated values
N(E_F) = 2.34 states/eV/f.u.
total magnetic moment = 0.00 Bohr magnetons per cell
space-group type = P4/mmm

Cell: 4.513 4.513 3.508 Å, 90.00 90.00 90.00°
Fractional coordinates of all 5 atoms:
Sc1 0.500 0.000 0.000
Cu1 0.500 0.500 0.500
Ru1 0.000 0.000 0.500
Sc2 0.000 0.500 0.000
H1 0.000 0.000 0.000

***

#2
Entry from Alexandria: a relaxed structure of Sc2CuHRu (GGA-PBE).

Calculated values
N(E_F) = 2.31 states/eV/f.u.
total magnetic moment = 0.00 Bohr magnetons per cell
space-group type = P4/mmm

Cell: 4.504 4.504 3.418 Å, 90.00 90.00 90.00°
Fractional coordinates of all 5 atoms:
Ru1 0.500 0.500 0.500
Cu1 0.000 0.000 0.500
Sc1 0.500 0.000 0.000
H1 0.000 0.000 0.000
Sc2 0.000 0.500 0.000

***

Which of them is most stable? Easy: #2.

***

#1
Entry from Alexandria: a relaxed structure of TaCuHRu2 (GGA-PBE).

Calculated values
N(E_F) = 5.12 states/eV/f.u.
total magnetic moment = 0.03 Bohr magnetons per cell
space-group type = P4/mmm

Cell: 4.048 4.048 3.636 Å, 90.00 90.00 90.00°
Fractional coordinates of all 5 atoms:
Cu1 0.000 0.000 0.500
Ru1 0.500 0.000 0.000
Ta1 0.500 0.500 0.500
H1 0.000 0.000 0.000
Ru2 0.000 0.500 0.000

***

#2
Entry from Alexandria: a relaxed structure of TaCuHRu2 (GGA-PBE).

Calculated values
N(E_F) = 4.34 states/eV/f.u.
total magnetic moment = 0.00 Bohr magnetons per cell
space-group type = P4/mmm

Cell: 3.926 3.926 3.914 Å, 90.00 90.00 90.00°
Fractional coordinates of all 5 atoms:
Cu1 0.500 0.500 0.500
Ta1 0.000 0.000 0.500
H1 0.000 0.000 0.000
Ru1 0.500 0.000 0.000
Ru2 0.000 0.500 0.000

***

Which of them is most stable? Easy: #1.

***

#1
Entry from Alexandria: a relaxed structure of VCuHRu2 (GGA-PBE).

Calculated values
N(E_F) = 4.26 states/eV/f.u.
total magnetic moment = 0.39 Bohr magnetons per cell
space-group type = P4/mmm

Cell: 3.953 3.953 3.553 Å, 90.00 90.00 90.00°
Fractional coordinates of all 5 atoms:
V1 0.500 0.500 0.500
Ru1 0.000 0.500 0.000
Ru2 0.500 0.000 0.000
H1 0.000 0.000 0.000
Cu1 0.000 0.000 0.500

***

#2
Entry from Alexandria: a relaxed structure of VCuHRu2 (GGA-PBE).

Calculated values
N(E_F) = 4.54 states/eV/f.u.
total magnetic moment = 0.15 Bohr magnetons per cell
space-group type = P4/mmm

Cell: 3.868 3.868 3.729 Å, 90.00 90.00 90.00°
Fractional coordinates of all 5 atoms:
H1 0.000 0.000 0.000
Ru1 0.500 0.000 0.000
Ru2 0.000 0.500 0.000
Cu1 0.500 0.500 0.500
V1 0.000 0.000 0.500

***

Which of them is most stable? Easy: #1.

***

#1
Entry from Alexandria: a relaxed structure of Y2CuHRu (GGA-PBE).

Calculated values
N(E_F) = 3.23 states/eV/f.u.
total magnetic moment = 0.00 Bohr magnetons per cell
space-group type = P4/mmm

Cell: 4.875 4.875 3.606 Å, 90.00 90.00 90.00°
Fractional coordinates of all 5 atoms:
Y1 0.500 0.000 0.000
Ru1 0.000 0.000 0.500
H1 0.000 0.000 0.000
Cu1 0.500 0.500 0.500
Y2 0.000 0.500 0.000

***

#2
Entry from Alexandria: a relaxed structure of Y2CuHRu (GGA-PBE).

Calculated values
N(E_F) = 2.47 states/eV/f.u.
total magnetic moment = 0.00 Bohr magnetons per cell
space-group type = P4/mmm

Cell: 4.845 4.845 3.554 Å, 90.00 90.00 90.00°
Fractional coordinates of all 5 atoms:
Ru1 0.500 0.500 0.500
Y1 0.000 0.500 0.000
H1 0.000 0.000 0.000
Cu1 0.000 0.000 0.500
Y2 0.500 0.000 0.000

***

Which of them is most stable? Easy: #1.

***

#1
Entry from Alexandria: a relaxed structure of ZrCuHRu2 (GGA-PBE).

Calculated values
N(E_F) = 3.86 states/eV/f.u.
total magnetic moment = 0.01 Bohr magnetons per cell
space-group type = P4/mmm

Cell: 4.049 4.049 3.831 Å, 90.00 90.00 90.00°
Fractional coordinates of all 5 atoms:
Ru1 0.500 0.000 0.000
H1 0.000 0.000 0.000
Ru2 0.000 0.500 0.000
Zr1 0.500 0.500 0.500
Cu1 0.000 0.000 0.500

***

#2
Entry from Alexandria: a relaxed structure of ZrCuHRu2 (GGA-PBE).

Calculated values
N(E_F) = 3.71 states/eV/f.u.
total magnetic moment = 0.00 Bohr magnetons per cell
space-group type = P4/mmm

Cell: 3.944 3.944 4.094 Å, 90.00 90.00 90.00°
Fractional coordinates of all 5 atoms:
H1 0.000 0.000 0.000
Cu1 0.500 0.500 0.500
Zr1 0.000 0.000 0.500
Ru1 0.000 0.500 0.000
Ru2 0.500 0.000 0.000

***

Which of them is most stable? Easy: #1.

***

#1
Entry from Alexandria: a relaxed structure of CuH2S (GGA-PBE).

Calculated values
N(E_F) = 1.44 states/eV/f.u.
total magnetic moment = 0.00 Bohr magnetons per cell
space-group type = I-42d

Cell: 3.435 3.435 6.644 Å, 75.02 75.02 90.00°
Fractional coordinates of all 8 atoms:
S1 0.500 0.500 0.000
H1 0.673 0.125 0.250
H2 0.375 0.327 0.750
Cu1 0.750 0.250 0.500
S2 0.250 0.750 0.500
H3 0.875 0.923 0.750
Cu2 0.000 0.000 0.000
H4 0.077 0.625 0.250

***

#2
Entry from Alexandria: a relaxed structure of CuH2S (GGA-PBE).

Calculated values
N(E_F) = 2.51 states/eV/f.u.
total magnetic moment = 0.00 Bohr magnetons per cell
space-group type = Fm-3m

Cell: 3.668 3.668 3.668 Å, 60.00 60.00 60.00°
Fractional coordinates of all 4 atoms:
H1 0.750 0.750 0.750
H2 0.250 0.250 0.250
S1 0.000 0.000 0.000
Cu1 0.500 0.500 0.500

***

#3
Entry from Alexandria: a relaxed structure of CuH2S (GGA-PBE).

Calculated values
N(E_F) = 0.63 states/eV/f.u.
total magnetic moment = 0.00 Bohr magnetons per cell
space-group type = P-1

Cell: 10.969 3.836 3.838 Å, 60.08 86.79 96.35°
Fractional coordinates of all 8 atoms:
S1 0.109 0.057 0.954
Cu1 0.868 0.598 0.722
H1 0.633 0.401 0.773
S2 0.891 0.943 0.046
H2 0.563 0.372 0.806
H3 0.437 0.628 0.194
H4 0.367 0.599 0.227
Cu2 0.132 0.402 0.278

***

Which of them is most stable? Easy: #3.

***

#1
Entry from Alexandria: a relaxed structure of CuHS3 (GGA-PBE).

Calculated values
N(E_F) = 2.88 states/eV/f.u.
total magnetic moment = 0.00 Bohr magnetons per cell
space-group type = Pm-3m

Cell: 4.015 4.015 4.015 Å, 90.00 90.00 90.00°
Fractional coordinates of all 5 atoms:
H1 0.000 0.000 0.000
S1 0.000 0.500 0.000
Cu1 0.500 0.500 0.500
S2 0.000 0.000 0.500
S3 0.500 0.000 0.000

***

#2
Entry from Alexandria: a relaxed structure of CuHS3 (GGA-PBE).

Calculated values
N(E_F) = 5.82 states/eV/f.u.
total magnetic moment = 1.01 Bohr magnetons per cell
space-group type = Pm-3m

Cell: 4.521 4.521 4.521 Å, 90.00 90.00 90.00°
Fractional coordinates of all 5 atoms:
S1 0.000 0.000 0.500
H1 0.500 0.500 0.500
S2 0.500 0.000 0.000
S3 0.000 0.500 0.000
Cu1 0.000 0.000 0.000

***

Which of them is most stable? Easy: #1.

***

#1
Entry from Alexandria: a relaxed structure of CuHS (GGA-PBE).

Calculated values
N(E_F) = 0.63 states/eV/f.u.
total magnetic moment = 0.00 Bohr magnetons per cell
space-group type = I4mm

Cell: 3.471 3.471 4.194 Å, 114.45 114.45 90.00°
Fractional coordinates of all 3 atoms:
S1 0.516 0.516 0.032
Cu1 0.024 0.024 0.048
H1 0.310 0.310 0.620

***

#2
Entry from Alexandria: a relaxed structure of CuHS (GGA-PBE).

Calculated values
total magnetic moment = 0.00 Bohr magnetons per cell
space-group type = Pnnm

Cell: 4.013 4.267 13.003 Å, 90.00 90.00 90.00°
Fractional coordinates of all 12 atoms:
Cu1 0.500 0.170 0.712
S1 0.500 0.520 0.845
H1 0.000 0.189 0.424
S2 0.500 0.480 0.155
H2 0.000 0.811 0.576
S3 0.000 0.980 0.345
H3 0.500 0.311 0.924
Cu2 0.000 0.670 0.788
H4 0.500 0.689 0.076
Cu3 0.500 0.830 0.288
S4 0.000 0.020 0.655
Cu4 0.000 0.330 0.212

***

Which of them is most stable? Easy: #2.

***

#1
Entry from Alexandria: a relaxed structure of CuHS (GGA-PBE).

Calculated values
N(E_F) = 0.00 states/eV/f.u.
total magnetic moment = 0.00 Bohr magnetons per cell
space-group type = P1

Cell: 4.039 4.415 5.187 Å, 89.99 95.21 89.87°
Fractional coordinates of all 6 atoms:
H1 0.237 0.754 0.561
H2 0.767 0.254 0.443
S1 0.719 0.077 0.226
S2 0.287 0.577 0.778
Cu1 0.194 0.923 0.093
Cu2 0.813 0.423 0.911

***

#2
Entry from Alexandria: a relaxed structure of CuHS (GGA-PBE).

Calculated values
N(E_F) = 1.81 states/eV/f.u.
total magnetic moment = 0.00 Bohr magnetons per cell
space-group type = C2/m

Cell: 3.779 3.779 10.209 Å, 65.99 65.99 59.88°
Fractional coordinates of all 6 atoms:
Cu1 0.761 0.761 0.100
H1 0.564 0.564 0.474
Cu2 0.239 0.239 0.900
S1 0.048 0.048 0.163
H2 0.436 0.436 0.526
S2 0.952 0.952 0.837

***

Which of them is most stable? Easy: #1.

***

#1
Entry from Alexandria: a relaxed structure of CuHS2 (GGA-PBE).

Calculated values
N(E_F) = 2.03 states/eV/f.u.
total magnetic moment = 0.00 Bohr magnetons per cell
space-group type = R-3m

Cell: 7.157 7.157 7.157 Å, 23.86 23.86 23.86°
Fractional coordinates of all 4 atoms:
Cu1 0.000 0.000 0.000
S1 0.897 0.897 0.897
H1 0.500 0.500 0.500
S2 0.103 0.103 0.103

***

#2
Entry from Alexandria: a relaxed structure of CuHS2 (GGA-PBE).

Calculated values
N(E_F) = 1.75 states/eV/f.u.
total magnetic moment = 0.00 Bohr magnetons per cell
space-group type = I-42d

Cell: 4.947 4.947 5.778 Å, 64.66 64.66 90.00°
Fractional coordinates of all 8 atoms:
Cu1 0.000 0.000 0.000
S1 0.375 0.419 0.750
H1 0.500 0.500 0.000
S2 0.875 0.831 0.750
S3 0.169 0.625 0.250
H2 0.250 0.750 0.500
Cu2 0.750 0.250 0.500
S4 0.581 0.125 0.250

***

Which of them is most stable? Easy: #2.

***

#1
Entry from Alexandria: a relaxed structure of CuSbH (GGA-PBE).

Calculated values
N(E_F) = 0.67 states/eV/f.u.
total magnetic moment = 0.00 Bohr magnetons per cell
space-group type = I4mm

Cell: 3.758 3.758 4.690 Å, 113.62 113.62 90.00°
Fractional coordinates of all 3 atoms:
Sb1 0.180 0.180 0.360
Cu1 0.724 0.724 0.448
H1 0.946 0.946 0.891

***

#2
Entry from Alexandria: a relaxed structure of CuSbH (GGA-PBE).

Calculated values
N(E_F) = 0.80 states/eV/f.u.
total magnetic moment = 0.00 Bohr magnetons per cell
space-group type = Cm

Cell: 3.457 4.337 8.596 Å, 58.97 78.40 66.51°
Fractional coordinates of all 6 atoms:
Sb1 0.237 0.081 0.621
H1 0.937 0.082 0.219
Cu1 0.944 0.518 0.770
H2 0.234 0.334 0.375
Cu2 0.651 0.960 0.915
Sb2 0.371 0.338 0.095

***

Which of them is most stable? Easy: #1.

***

#1
Entry from Alexandria: a relaxed structure of CuSb2H (GGA-PBE).

Calculated values
N(E_F) = 1.63 states/eV/f.u.
total magnetic moment = 0.00 Bohr magnetons per cell
space-group type = I-42d

Cell: 6.473 6.473 5.729 Å, 55.60 55.60 90.00°
Fractional coordinates of all 8 atoms:
Sb1 0.568 0.125 0.250
H1 0.250 0.750 0.500
Sb2 0.875 0.818 0.750
H2 0.500 0.500 0.000
Cu1 0.000 0.000 0.000
Sb3 0.182 0.625 0.250
Cu2 0.750 0.250 0.500
Sb4 0.375 0.432 0.750

***

#2
Entry from Alexandria: a relaxed structure of CuSb2H (GGA-PBE).

Calculated values
N(E_F) = 1.32 states/eV/f.u.
total magnetic moment = 0.00 Bohr magnetons per cell
space-group type = Fm-3m

Cell: 4.606 4.606 4.606 Å, 60.00 60.00 60.00°
Fractional coordinates of all 4 atoms:
Cu1 0.500 0.500 0.500
Sb1 0.250 0.250 0.250
Sb2 0.750 0.750 0.750
H1 0.000 0.000 0.000

***

#3
Entry from Alexandria: a relaxed structure of CuSb2H (GGA-PBE).

Calculated values
N(E_F) = 1.34 states/eV/f.u.
total magnetic moment = 0.00 Bohr magnetons per cell
space-group type = R-3m

Cell: 4.039 4.039 6.886 Å, 72.94 72.94 60.00°
Fractional coordinates of all 4 atoms:
H1 0.000 0.000 0.000
Cu1 0.500 0.500 0.500
Sb1 0.102 0.102 0.694
Sb2 0.898 0.898 0.306

***

Which of them is most stable? Easy: #3.

***

#1
Entry from Alexandria: a relaxed structure of CuSbH3 (GGA-PBE).

Calculated values
N(E_F) = 1.55 states/eV/f.u.
total magnetic moment = 0.00 Bohr magnetons per cell
space-group type = Pm-3m

Cell: 3.971 3.971 3.971 Å, 90.00 90.00 90.00°
Fractional coordinates of all 5 atoms:
H1 0.000 0.000 0.500
H2 0.000 0.500 0.000
Cu1 0.500 0.500 0.500
H3 0.500 0.000 0.000
Sb1 0.000 0.000 0.000

***

#2
Entry from Alexandria: a relaxed structure of CuSbH3 (GGA-PBE).

Calculated values
N(E_F) = 1.34 states/eV/f.u.
total magnetic moment = 0.00 Bohr magnetons per cell
space-group type = Pm-3m

Cell: 3.663 3.663 3.663 Å, 90.00 90.00 90.00°
Fractional coordinates of all 5 atoms:
H1 0.500 0.000 0.000
Cu1 0.000 0.000 0.000
H2 0.000 0.500 0.000
Sb1 0.500 0.500 0.500
H3 0.000 0.000 0.500

***

Which of them is most stable? Easy: #2.